[1]
A geometry-optimized ScHg2Mo structure, computed with PBE-GGA.

```
4
Lattice="-0.5755 -3.6834 2.0119 3.0391 -0.2559 0.4008 2.6273 2.6362 5.5780" Properties=species:S:1:pos:R:3 pbc="T T T"
Hg 3.0342 -0.2350 0.4377
Hg 2.8382 1.1693 2.9526
Mo 1.1289 -1.2466 2.5006
Sc 3.9621 -0.0564 5.4901
```

Values from the calculation:
distance to the lowest polymorph of the same formula = 25 meV/atom
VASP energy = -4.30 eV per atom
energy relative to the elements = 0.147 eV/atom

***

[2]
A geometry-optimized Ni2HgSb structure, computed with PBE-GGA.

```
4
Lattice="-2.7485 -2.3945 2.7874 -2.2544 -3.6652 -1.5942 1.2156 -4.2112 1.3584" Properties=species:S:1:pos:R:3 pbc="T T T"
Hg -1.8937 -5.1354 1.2757
Ni 0.0000 0.0000 0.0000
Ni -0.9468 -2.5677 0.6379
Sb -2.8405 -7.7031 1.9136
```

Values from the calculation:
raw formation energy = 410 meV/atom
VASP energy = -3.59 eV per atom

***

[3]
A geometry-optimized Ba2FeAg structure, computed with PBE-GGA.

```
4
Lattice="-2.7632 -3.9043 5.2284 0.9575 -5.3476 4.5500 1.5285 1.7193 4.7253" Properties=species:S:1:pos:R:3 pbc="T T T"
Ag 0.1275 -1.2343 3.3246
Ba -1.7508 -9.0720 9.6968
Ba -0.2715 -5.8579 10.9723
Fe -0.3266 -4.3867 7.5402
```

Values from the calculation:
distance to the lowest polymorph of the same formula = 135 meV/atom
VASP energy = -3.43 eV per atom
energy relative to the elements = 0.359 eV/atom

***

[4]
A geometry-optimized CuBi2HPb structure, computed with PBE-GGA.

```
5
Lattice="5.8308 0.0000 0.0000 0.0000 5.8308 0.0000 0.0000 0.0000 3.3826" Properties=species:S:1:pos:R:3 pbc="T T T"
Pb 2.9154 2.9154 1.6913
H 0.0000 0.0000 1.6913
Bi 0.0000 2.9154 0.0000
Bi 2.9154 0.0000 0.0000
Cu 0.0000 0.0000 0.0000
```

Values from the calculation:
VASP energy = -3.59 eV per atom

***

[5]
A geometry-optimized SmBe2ZnAu4 structure, computed with PBE-GGA.

```
8
Lattice="4.2209 0.0000 0.0000 2.1105 3.6554 0.0000 2.1105 1.2185 9.1185" Properties=species:S:1:pos:R:3 pbc="T T T"
Sm 0.0000 0.0000 0.0000
Be 6.3314 3.6554 6.6031
Be 2.1105 1.2185 2.5154
Zn 4.2209 2.4369 4.5593
Au 4.2209 2.4370 7.2698
Au 6.3314 3.6554 3.4539
Au 2.1105 1.2185 5.6647
Au 4.2209 2.4369 1.8487
```

Values from the calculation:
VASP energy = -3.61 eV per atom
energy relative to the elements = -0.291 eV/atom

***

[6]
A geometry-optimized Ca4ZrRe structure, computed with PBE-GGA.

```
6
Lattice="0.0000 4.4044 4.4044 4.4044 0.0000 4.4044 4.4044 4.4044 0.0000" Properties=species:S:1:pos:R:3 pbc="T T T"
Ca 5.5016 3.3072 5.5016
Ca 3.3072 5.5016 5.5016
Ca 5.5016 5.5016 3.3072
Ca 3.3072 3.3072 3.3072
Zr 0.0000 0.0000 0.0000
Re 6.6066 6.6066 6.6066
```

Values from the calculation:
VASP energy = -3.61 eV per atom
energy relative to the elements = 1.226 eV/atom

***

[7]
A geometry-optimized Li6Tl2Ga structure, computed with PBE-GGA.

```
9
Lattice="3.0351 0.0000 0.0000 0.0000 8.1162 0.0000 0.0000 -4.0581 7.0286" Properties=species:S:1:pos:R:3 pbc="T T T"
Li 1.5176 5.2828 0.0000
Li 1.5176 1.4165 2.4531
Li 1.5176 -2.6416 4.5755
Li 0.0000 2.3704 0.0000
Li 0.0000 2.8731 4.9765
Li 0.0000 6.9312 2.0521
Tl 0.0000 0.0001 4.6852
Tl 0.0000 4.0582 2.3434
Ga 1.5176 0.0001 0.0000
```

Values from the calculation:
VASP energy = -2.32 eV per atom
energy relative to the elements = -0.182 eV/atom

***

[8]
A geometry-optimized Ce3ScSi6 structure, computed with PBE-GGA.

```
20
Lattice="7.4556 -0.0594 -0.9661 -1.0918 7.3754 -0.9661 -0.0517 -0.0594 7.5177" Properties=species:S:1:pos:R:3 pbc="T T T"
Ce 0.5587 5.5018 1.4483
Ce 2.0912 1.3156 5.1552
Ce 1.0719 5.0033 5.2072
Ce 5.2402 2.2533 0.3783
Ce 4.2209 5.9410 0.4303
Ce 5.7534 1.7548 4.1372
Sc 0.0000 0.0000 0.0000
Sc 3.1560 3.6283 2.7927
Si 6.0574 4.4486 5.9102
Si 0.0117 0.6413 2.7647
Si 0.4105 2.9871 3.1177
Si 2.8213 0.1005 0.2923
Si 2.5226 3.5280 0.0280
Si 2.8645 6.4362 3.0850
Si 3.4476 0.8204 2.5004
Si 3.7895 3.7286 5.5574
Si 3.4908 7.1561 5.2932
Si 5.9016 4.2695 2.4678
Si 6.3003 6.6153 2.8208
Si 0.2547 2.8080 -0.3248
```

Values from the calculation:
raw formation energy = -605 meV/atom
VASP energy = -6.27 eV per atom

***

> The highest VASP energy belongs to which entry?

Li6Tl2Ga

***

> Which of these has the highest VASP energy?

Li6Tl2Ga